(1)
Sm4CI4Cl, optimized geometry, DFT PBE; space group = No. 12; raw total energy = -0.35437 Ry/atom
1.0
-6.260 3.506 -6.780
-8.750 2.464 -3.848
2.054 6.961 4.219
Sm I Cl C
4 4 1 1
Cartesian
1.606 5.541 3.334 Sm
-3.625 8.683 0.008 Sm
-14.562 7.390 -9.743 Sm
-9.332 4.247 -6.417 Sm
-11.258 9.477 -6.194 I
-12.083 6.244 -8.044 I
-1.698 3.454 -0.215 I
-0.873 6.686 1.635 I
-6.478 6.465 -3.204 Cl
-7.505 2.985 -5.314 C


(2)
ThTlPd6, optimized geometry, DFT PBE; space group = No. 123; raw total energy = -0.42176 Ry/atom
1.0
4.172 0.000 0.000
0.000 4.172 0.000
0.000 0.000 8.189
Pd Th Tl
6 1 1
Cartesian
2.086 0.000 6.161 Pd
0.000 2.086 6.161 Pd
2.086 2.086 0.000 Pd
2.086 0.000 2.028 Pd
0.000 2.086 2.028 Pd
2.086 2.086 4.095 Pd
0.000 0.000 4.095 Th
0.000 0.000 0.000 Tl